[1]
Ga3PH | Alexandria via LeMat-Bulk | PBE | relaxed; SG = Pm-3m (221); calculated volume = 15.56 Å³ per atom; Fermi-level density of states = 1.87 states/eV/f.u.; offset from the most stable computed form = 0 meV per atom; energy = -3.2503 eV per atom
1.0
4.2692 0.0000 0.0000
0.0000 4.2692 0.0000
0.0000 0.0000 4.2692
Ga P H
3 1 1
Direct
0.0000 0.0000 0.5000
0.0000 0.5000 0.0000
0.5000 0.0000 0.0000
0.5000 0.5000 0.5000
0.0000 0.0000 0.0000



[2]
K2MgF5 | Alexandria via LeMat-Bulk | PBE | relaxed; SG = Pnma (62); calculated volume = 15.82 Å³ per atom; Fermi-level density of states = 8.72 states/eV/f.u.; offset from the most stable computed form = 0 meV per atom; formation energy without anion corrections = -21.66 eV per formula unit; energy = -4.3505 eV per atom
1.0
7.5427 0.0000 0.0000
0.0000 5.6850 0.0000
0.0000 0.0000 11.8087
K Mg F
8 4 20
Direct
0.0155 0.2500 0.2215
0.1552 0.7500 0.4169
0.3448 0.2500 0.9169
0.4845 0.7500 0.7215
0.5155 0.2500 0.2785
0.6552 0.7500 0.0831
0.8448 0.2500 0.5831
0.9845 0.7500 0.7785
0.1632 0.7500 0.0583
0.3368 0.2500 0.5583
0.6632 0.7500 0.4417
0.8368 0.2500 0.9417
0.0000 0.0000 0.0000
0.0000 0.5000 0.0000
0.0336 0.7500 0.2038
0.1748 0.0035 0.6201
0.1748 0.4965 0.6201
0.2156 0.2500 0.4088
0.2844 0.7500 0.9088
0.3252 0.5035 0.1201
0.3252 0.9965 0.1201
0.4664 0.2500 0.7038
0.5000 0.0000 0.5000
0.5000 0.5000 0.5000
0.5336 0.7500 0.2962
0.6748 0.0035 0.8799
0.6748 0.4965 0.8799
0.7156 0.2500 0.0912
0.7844 0.7500 0.5912
0.8252 0.5035 0.3799
0.8252 0.9965 0.3799
0.9664 0.2500 0.7962



[3]
CsKBeO2 | Alexandria via LeMat-Bulk | PBE | relaxed; SG = P2/c (13); calculated volume = 26.20 Å³ per atom; Fermi-level density of states = 0.00 states/eV/f.u.; formation energy without anion corrections = -8.52 eV per formula unit; energy = -4.8221 eV per atom
1.0
6.1499 0.0000 0.0000
0.0000 5.5608 0.0000
-0.2298 0.0000 7.6599
Cs K Be O
2 2 2 4
Direct
0.0000 0.0262 0.2500
0.0000 0.9738 0.7500
0.5000 0.4958 0.7500
0.5000 0.5042 0.2500
0.5000 0.0000 0.0000
0.5000 0.0000 0.5000
0.3410 0.1898 0.9970
0.3410 0.8102 0.4970
0.6590 0.1898 0.5030
0.6590 0.8102 0.0030